{
  "formula": "BaCd2",
  "functional": "meta-GGA SCAN",
  "state": "single point on PBEsol structure",
  "lattice": [[-2.090, 2.575, -2.246], [1.513, -1.663, -3.315], [-4.074, -4.127, 2.631]],
  "species": ["Ba", "Cd", "Cd"],
  "fractional_positions": [[0.000, 0.000, 0.000], [0.693, 0.693, 0.385], [0.307, 0.307, 0.615]],
  "total_energy_ev_per_cell": -101.2,
  "space_group": "I4/mmm",
  "dos_ef_per_ev_atom": 0.4232,
  "delta_e_f_ev_per_fu": -0.80
}